## i
# Si2SeCl

A relaxed structure of Si2SeCl (PBE-GGA, Alexandria).

Cell lengths 7.4373, 7.4373, 7.4373 Å; angles 154.72, 141.67, 46.48 degrees
Last column: nearest neighbours and their distance in Å.
Sites, in units of the cell vectors:
Se (0.8437, 0.3437, 0.5000)  2 Si 2.31
Si (0.9638, 0.9638, 0.0000)  2 Se 2.31
Si (0.1157, 0.6157, 0.5000)  2 Cl 2.50, 2 Si 2.64
Cl (0.5769, 0.5769, 0.0000)  2 Si 2.50

Calculated values
space-group type: No. 44
crystal system: orthorhombic
total magnetization: 0.0 μB/cell

=====

## ii
# Si2SeCl

A relaxed structure of Si2SeCl (PBE-GGA, Alexandria).

Cell lengths 7.8257, 7.8257, 7.8257 Å; angles 26.50, 26.50, 26.50 degrees
Last column: nearest neighbours and their distance in Å.
Sites, in units of the cell vectors:
Si (0.0063, 0.0063, 0.0063)  3 Se 2.71, 3 Cl 2.90
Si (0.4937, 0.4937, 0.4937)  3 Se 2.71, 3 Cl 2.90
Se (0.7500, 0.7500, 0.7500)  6 Si 2.71
Cl (0.2500, 0.2500, 0.2500)  6 Si 2.90

Calculated values
space-group type: No. 166
crystal system: trigonal
total magnetization: 0.0 μB/cell

=====

## iii
# Si2SeCl

A relaxed structure of Si2SeCl (PBE-GGA, Alexandria).

Cell lengths 8.5035, 8.5035, 8.5035 Å; angles 24.34, 24.34, 24.34 degrees
Last column: nearest neighbours and their distance in Å.
Sites, in units of the cell vectors:
Si (0.2672, 0.2672, 0.2672)  3 Si 2.45, 3 Cl 2.65
Si (0.9867, 0.9867, 0.9867)  3 Si 2.45, 3 Se 2.54
Cl (0.5336, 0.5336, 0.5336)  3 Si 2.65
Se (0.7126, 0.7126, 0.7126)  3 Si 2.54

Calculated values
space-group type: No. 160
crystal system: trigonal
total magnetization: 0.0 μB/cell

=====

## iv
# Si2SeCl

A relaxed structure of Si2SeCl (PBE-GGA, Alexandria).

Cell lengths 4.7239, 4.7239, 3.4323 Å; angles 90.00, 90.00, 89.98 degrees
Last column: nearest neighbours and their distance in Å.
Sites, in units of the cell vectors:
Si (0.0000, 0.0000, 0.0000)  4 Se 2.92, 4 Cl 2.92
Si (0.5000, 0.5000, 0.0000)  4 Cl 2.92, 4 Se 2.92
Se (0.0000, 0.5000, 0.5000)  8 Si 2.92
Cl (0.5000, 0.0000, 0.5000)  8 Si 2.92

Calculated values
space-group type: No. 123
crystal system: tetragonal
total magnetization: 0.0 μB/cell

=====

Stability, descending: iii, i, ii, iv

=====

## i
# SiSe3Cl

A relaxed structure of SiSe3Cl (PBE-GGA, Alexandria).

Cell lengths 4.9608, 4.9608, 4.9608 Å; angles 90.00, 90.00, 90.00 degrees
Last column: nearest neighbours and their distance in Å.
Sites, in units of the cell vectors:
Cl (0.0000, 0.0000, 0.0000)  6 Se 2.48
Se (0.0000, 0.0000, 0.5000)  2 Cl 2.48
Se (0.5000, 0.0000, 0.0000)  2 Cl 2.48
Se (0.0000, 0.5000, 0.0000)  2 Cl 2.48
Si (0.5000, 0.5000, 0.5000)  12 Se 3.51

Calculated values
space-group type: No. 221
crystal system: cubic
total magnetization: 0.0 μB/cell

=====

## ii
# SiSe3Cl

A relaxed structure of SiSe3Cl (PBE-GGA, Alexandria).

Cell lengths 4.8486, 4.8486, 4.8486 Å; angles 90.00, 90.00, 90.00 degrees
Last column: nearest neighbours and their distance in Å.
Sites, in units of the cell vectors:
Cl (0.5000, 0.5000, 0.5000)  12 Se 3.43
Si (0.0000, 0.0000, 0.0000)  6 Se 2.42
Se (0.0000, 0.0000, 0.5000)  2 Si 2.42
Se (0.0000, 0.5000, 0.0000)  2 Si 2.42
Se (0.5000, 0.0000, 0.0000)  2 Si 2.42

Calculated values
space-group type: No. 221
crystal system: cubic
total magnetization: 0.0 μB/cell

=====

Stability, descending: ii, i

=====

## i
# Si3SeCl

A relaxed structure of Si3SeCl (PBE-GGA, Alexandria).

Cell lengths 5.1254, 5.1254, 5.1254 Å; angles 90.00, 90.00, 90.00 degrees
Last column: nearest neighbours and their distance in Å.
Sites, in units of the cell vectors:
Se (0.0000, 0.0000, 0.0000)  6 Si 2.56
Cl (0.5000, 0.5000, 0.5000)  12 Si 3.62
Si (0.0000, 0.0000, 0.5000)  2 Se 2.56
Si (0.5000, 0.0000, 0.0000)  2 Se 2.56
Si (0.0000, 0.5000, 0.0000)  2 Se 2.56

Calculated values
space-group type: No. 221
crystal system: cubic
total magnetization: 0.0 μB/cell

=====

## ii
# Si3SeCl

A relaxed structure of Si3SeCl (PBE-GGA, Alexandria).

Cell lengths 4.8388, 4.8388, 4.8388 Å; angles 90.00, 90.00, 90.00 degrees
Last column: nearest neighbours and their distance in Å.
Sites, in units of the cell vectors:
Se (0.5000, 0.5000, 0.5000)  12 Si 3.42
Si (0.0000, 0.5000, 0.0000)  2 Cl 2.42
Si (0.0000, 0.0000, 0.5000)  2 Cl 2.42
Si (0.5000, 0.0000, 0.0000)  2 Cl 2.42
Cl (0.0000, 0.0000, 0.0000)  6 Si 2.42

Calculated values
space-group type: No. 221
crystal system: cubic
total magnetization: 0.0 μB/cell

=====

Stability, descending: i, ii